The following is a PBE-GGA calculation of Li3Se after structural relaxation, from the Alexandria database.

abc: 4.0597 4.0597 16.1717
angles: 90.00 90.00 90.00
With the nearest neighbours (Å) after each atom.
Space group I4/mmm (No. 139)
One atom of each set of equivalent atoms:
Li 0.0000 0.0000 0.1198 x4  8 Li 2.81-2.93, 4 Se 2.91
Li 0.0000 0.5000 0.0000 x4  8 Li 2.81-2.87
Li 0.0000 0.5000 0.2500 x4  4 Se 2.60, 4 Li 2.87
Se 0.0000 0.0000 0.3502 x4  4 Li 2.60

Results
**E_form (uncorrected)**: -0.783 eV per atom
**Excess energy over the best structure of this formula in the dataset**: 51 meV per atom

***

The following is a PBE-GGA calculation of Li2Se after structural relaxation, from the Alexandria database.

abc: 4.1958 7.2572 6.9829
angles: 90.00 90.00 90.00
With the nearest neighbours (Å) after each atom.
Space group Cmc2_1 (No. 36)
One atom of each set of equivalent atoms:
Li 0.0000 0.0010 0.0000 x4  3 Se 2.58
Li 0.0000 0.3337 0.7475 x4  4 Se 2.57-2.63
Se 0.0000 0.3327 0.3704 x4  7 Li 2.57-2.63

Results
**Fermi-level density of states**: 0.0 states/eV/f.u.
**E_form (uncorrected)**: -1.180 eV per atom

***

The following is a PBE-GGA calculation of LiSe2 after structural relaxation, from the Alexandria database.

abc: 10.8540 3.1165 8.6010
angles: 90.00 107.16 90.00
With the nearest neighbours (Å) after each atom.
Space group C2/m (No. 12)
One atom of each set of equivalent atoms:
Li 0.1285 0.0000 0.4974 x4  5 Se 2.64-2.84, 1 Li 2.80
Se 0.0230 0.5000 0.7439 x4  1 Se 2.38
Se 0.2430 0.5000 0.7465 x4  1 Se 2.38, 2 Li 2.64

Results
**Fermi-level density of states**: 0.8 states/eV/f.u.
**E_form (uncorrected)**: -0.432 eV per atom
**Excess energy over the best structure of this formula in the dataset**: 82 meV per atom

***

The following is a PBE-GGA calculation of Li2Se after structural relaxation, from the Alexandria database.

abc: 6.0222 6.0222 6.0222
angles: 90.00 90.00 90.00
With the nearest neighbours (Å) after each atom.
Space group Fm-3m (No. 225)
One atom of each set of equivalent atoms:
Li 0.2500 0.2500 0.2500 x8  4 Se 2.61
Se 0.0000 0.0000 0.0000 x4  8 Li 2.61

Results
**Fermi-level density of states**: 0.0 states/eV/f.u.
**E_form (uncorrected)**: -1.261 eV per atom

***

The following is a PBE-GGA calculation of Li3Se after structural relaxation, from the Alexandria database.

abc: 4.0789 4.0789 5.5487
angles: 90.00 90.00 120.00
With the nearest neighbours (Å) after each atom.
Space group P-6m2 (No. 187)
One atom of each set of equivalent atoms:
Li 0.0000 0.0000 0.0000 x1  2 Se 2.77, 6 Li 2.87
Li 0.3333 0.6667 0.2954 x2  1 Li 2.27
Se 0.0000 0.0000 0.5000 x1  8 Li 2.61-2.77

Results
**Fermi-level density of states**: 1.1 states/eV/f.u.
**E_form (uncorrected)**: -0.651 eV per atom
**Excess energy over the best structure of this formula in the dataset**: 182 meV per atom

***

The following is a PBE-GGA calculation of LiSe2 after structural relaxation, from the Alexandria database.

abc: 4.9080 4.9080 5.5545
angles: 90.00 90.00 120.00
With the nearest neighbours (Å) after each atom.
Space group P6_3/mmc (No. 194)
One atom of each set of equivalent atoms:
Li 0.3333 0.6667 0.2500 x2  5 Se 2.78-2.83
Se 0.0000 0.0000 0.0000 x2  2 Se 2.78
Se 0.3333 0.6667 0.7500 x2  5 Li 2.78-2.83

Results
**Fermi-level density of states**: 2.3 states/eV/f.u.
**E_form (uncorrected)**: -0.167 eV per atom
**Excess energy over the best structure of this formula in the dataset**: 346 meV per atom

***

The following is a PBE-GGA calculation of Li6Se7 after structural relaxation, from the Alexandria database.

abc: 5.5226 5.5226 35.0064
angles: 90.00 90.00 120.00
With the nearest neighbours (Å) after each atom.
Space group R-3m (No. 166, hexagonal axes)
One atom of each set of equivalent atoms:
Li 0.0000 0.0000 0.0890 x6  6 Se 2.91
Li 0.0000 0.0000 0.1969 x6  6 Se 3.05-3.36
Li 0.0000 0.0000 0.3327 x6  6 Se 2.69-2.72
Se 0.0000 0.0000 0.5000 x3  6 Li 3.36
Se 0.0009 0.5004 0.0624 x18  4 Li 2.69-2.91, 4 Se 2.75-2.77

Results
**Fermi-level density of states**: 6.3 states/eV/f.u.
**E_form (uncorrected)**: -0.485 eV per atom

***

The following is a PBE-GGA calculation of Li3Se after structural relaxation, from the Alexandria database.

abc: 3.9261 3.9261 3.9261
angles: 90.00 90.00 90.00
With the nearest neighbours (Å) after each atom.
Space group Pm-3m (No. 221)
One atom of each set of equivalent atoms:
Li 0.0000 0.0000 0.5000 x3  4 Se 2.78, 8 Li 2.78
Se 0.5000 0.5000 0.5000 x1  12 Li 2.78

Results
**Fermi-level density of states**: 0.9 states/eV/f.u.
**E_form (uncorrected)**: -0.789 eV per atom
**Excess energy over the best structure of this formula in the dataset**: 45 meV per atom

***

The following is a PBE-GGA calculation of LiSe2 after structural relaxation, from the Alexandria database.

abc: 8.2116 8.2116 8.2116
angles: 90.00 90.00 90.00
With the nearest neighbours (Å) after each atom.
Space group Fd-3m (No. 227, origin choice 2)
One atom of each set of equivalent atoms:
Li 0.1250 0.1250 0.1250 x8  12 Se 3.40, 4 Li 3.56
Se 0.0000 0.0000 0.5000 x16  6 Se 2.90

Results
**Fermi-level density of states**: 0.3 states/eV/f.u.
**E_form (uncorrected)**: -0.115 eV per atom
**Excess energy over the best structure of this formula in the dataset**: 399 meV per atom

***

The following is a PBE-GGA calculation of LiSe2 after structural relaxation, from the Alexandria database.

abc: 5.8200 5.8200 7.3433
angles: 90.00 90.00 90.00
With the nearest neighbours (Å) after each atom.
Space group I4/mcm (No. 140)
One atom of each set of equivalent atoms:
Li 0.0000 0.0000 0.2500 x4  8 Se 2.89
Se 0.1448 0.3552 0.0000 x8  1 Se 2.38

Results
**Fermi-level density of states**: 1.9 states/eV/f.u.
**E_form (uncorrected)**: -0.485 eV per atom
**Excess energy over the best structure of this formula in the dataset**: 29 meV per atom

***

The following is a PBE-GGA calculation of Li8Se after structural relaxation, from the Alexandria database.

abc: 9.2309 9.2309 3.8075
angles: 90.00 90.00 90.00
With the nearest neighbours (Å) after each atom.
Space group I4/mmm (No. 139)
One atom of each set of equivalent atoms:
Li 0.0000 0.3274 0.0000 x8  9 Li 2.87-3.19, 1 Se 3.02
Li 0.1513 0.1513 0.5000 x8  2 Se 2.74, 6 Li 2.79-2.87
Se 0.0000 0.0000 0.0000 x2  12 Li 2.74-3.02

Results
**Fermi-level density of states**: 2.7 states/eV/f.u.
**E_form (uncorrected)**: -0.335 eV per atom

***

The following is a PBE-GGA calculation of Li3Se after structural relaxation, from the Alexandria database.

abc: 5.1086 5.1242 5.4635
angles: 90.00 90.00 90.00
With the nearest neighbours (Å) after each atom.
Space group Cmmm (No. 65)
One atom of each set of equivalent atoms:
Li 0.0000 0.0000 0.0000 x2  2 Se 2.73, 8 Li 3.01-3.02
Li 0.0000 0.5000 0.2916 x4  1 Li 2.28
Se 0.0000 0.0000 0.5000 x2  10 Li 2.73-2.80

Results
**Fermi-level density of states**: 1.5 states/eV/f.u.
**E_form (uncorrected)**: -0.628 eV per atom
**Excess energy over the best structure of this formula in the dataset**: 205 meV per atom

***

no.,final energy (eV per atom)
1,-3.089
2,-3.618
3,-3.393
4,-3.698
5,-2.958
6,-3.128
7,-3.244
8,-3.096
9,-3.076
10,-3.446
11,-2.423
12,-2.935